No. 1
First-principles (PBE) data for an optimized crystal structure of KSnTe2Os, as listed in Alexandria.

a b c (Å): 5.8665 5.8665 5.8539
angles (deg): 90.00 90.00 90.00
Closest atoms and distances in Å follow each position.
Space group P4/mmm (No. 123)
Unique sites:
K (0.0000, 0.0000, 0.0000) x1  2 Sn 2.93, 4 Te 2.93
Sn (0.0000, 0.0000, 0.5000) x1  2 K 2.93
Te (0.0000, 0.5000, 0.0000) x2  2 K 2.93
Os (0.5000, 0.5000, 0.5000) x1  8 Te 4.14, 4 Sn 4.15

N(E_F): 5.15 states/eV/cell
Magnetic moment: 3.0 μB/cell
Energy relative to the elements, uncorrected: 989 kJ/mol of formula units
Mass density: 4.97 Mg/m³

---

No. 2
First-principles (PBE) data for an optimized crystal structure of KSn2OsW, as listed in Alexandria.

a b c (Å): 5.2429 5.2429 4.4918
angles (deg): 90.00 90.00 90.00
Closest atoms and distances in Å follow each position.
Space group P4/mmm (No. 123)
Unique sites:
K (0.0000, 0.0000, 0.0000) x1  2 Os 2.25
Sn (0.0000, 0.5000, 0.0000) x2  2 K 2.62
Os (0.0000, 0.0000, 0.5000) x1  2 K 2.25
W (0.5000, 0.5000, 0.5000) x1  8 Sn 3.45, 4 Os 3.71

ΔE_f: 3.078 eV/atom
N(E_F): 7.22 states/eV/cell
Magnetic moment: 0.0 μB/cell
Mass density: 8.75 Mg/m³